Compound: HoScRu
Source: Alexandria
Functional: PBE
Structure: optimized geometry

The space-group type is Fdd2. For the uncorrected energy, the calculation gives -21.1 eV/f.u.

Cell lengths 7.1229, 7.1684, 7.1229 Å; angles 69.25, 73.33, 110.75 degrees
Atoms (fractional coordinates):
Ru 0.0426 0.9103 0.5719
Ru 0.3823 0.5897 0.7322
Ru 0.6781 0.4103 0.2074
Ru 0.5178 0.0897 0.8677
Ho 0.7828 0.6534 0.4477
Ho 0.3795 0.8466 0.3510
Ho 0.8023 0.1534 0.4672
Ho 0.8990 0.3466 0.8705
Sc 0.3098 0.2439 0.0858
Sc 0.3158 0.2561 0.5797
Sc 0.6703 0.7561 0.9342
Sc 0.1642 0.7439 0.9402